A | Computed, not measured: a relaxed PaPdAu crystal at the GGA-PBE level of DFT.

## Properties
The total magnetization is 0.00 μB/atom.

```
PaPdAu
1.0
-1.8447 1.8447 4.6032
1.8447 -1.8447 4.6032
1.8447 1.8447 -4.6032
Pa Pd Au
1 1 1
Direct
0.0000 0.0000 0.0000
0.6595 0.6595 0.0000
0.3272 0.3272 0.0000
```

***

B | Computed, not measured: a relaxed PaPdAu crystal at the GGA-PBE level of DFT.

## Properties
The total magnetization is 0.48 μB/atom.

```
PaPdAu
1.0
0.0000 3.2801 3.2801
3.2801 0.0000 3.2801
3.2801 3.2801 0.0000
Pa Pd Au
1 1 1
Direct
0.0000 0.0000 0.0000
0.2500 0.2500 0.2500
0.5000 0.5000 0.5000
```

***

According to the calculations, the structures order from most to least stable as A, B.

***

A | Computed, not measured: a relaxed PaPdAu crystal at the GGA-PBE level of DFT.

## Properties
The total magnetization is 0.00 μB/atom.

```
PaPdAu
1.0
6.0630 -1.7175 0.0000
6.0630 1.7175 0.0000
-4.4470 0.0000 6.0395
Pa Pd Au
2 2 2
Direct
0.1418 0.1418 0.0814
0.8582 0.8582 0.9186
0.4191 0.4191 0.2644
0.5809 0.5809 0.7356
0.1519 0.1519 0.4986
0.8481 0.8481 0.5014
```

***

B | Computed, not measured: a relaxed PaPdAu crystal at the GGA-PBE level of DFT.

## Properties
The total magnetization is 0.21 μB/atom.

```
PaPdAu
1.0
6.1842 0.0000 0.0000
0.0000 4.7492 0.0000
0.0000 0.0000 8.2222
Pa Pd Au
4 4 4
Direct
0.0004 0.2500 0.2504
0.9996 0.7500 0.7496
0.5004 0.2500 0.2496
0.4996 0.7500 0.7504
0.2497 0.2500 0.5833
0.2503 0.7500 0.0833
0.7497 0.2500 0.9167
0.7503 0.7500 0.4167
0.2493 0.2500 0.9167
0.2507 0.7500 0.4167
0.7493 0.2500 0.5833
0.7507 0.7500 0.0833
```

***

According to the calculations, the structures order from most to least stable as B, A.

***

A | Computed, not measured: a relaxed PaPd3Au3 crystal at the GGA-PBE level of DFT.

## Properties
The total magnetization is 0.00 μB/atom.

```
PaPd3Au3
1.0
5.3559 0.0000 0.0000
2.5551 7.0529 0.0000
0.1026 3.8533 6.7963
Pa Pd Au
2 6 6
Direct
0.0873 0.2457 0.3582
0.9127 0.7543 0.6418
0.0693 0.6576 0.3392
0.2424 0.5171 0.0476
0.4198 0.7729 0.4943
0.5802 0.2271 0.5057
0.7576 0.4829 0.9524
0.9307 0.3424 0.6608
0.1718 0.0698 0.0747
0.3413 0.9110 0.7764
0.4190 0.3553 0.7845
0.5810 0.6447 0.2155
0.6587 0.0890 0.2236
0.8282 0.9302 0.9253
```

***

B | Computed, not measured: a relaxed PaPd3Au3 crystal at the GGA-PBE level of DFT.

## Properties
The total magnetization is 0.00 μB/atom.

```
PaPd3Au3
1.0
7.6982 0.0000 0.0000
-3.8491 6.6669 0.0000
0.0000 0.0000 5.0665
Pa Pd Au
2 6 6
Direct
0.3333 0.6667 0.2500
0.6667 0.3333 0.7500
0.0575 0.2539 0.2500
0.1964 0.9425 0.2500
0.2539 0.1964 0.7500
0.7461 0.8036 0.2500
0.8036 0.0575 0.7500
0.9425 0.7461 0.7500
0.1016 0.4600 0.7500
0.3584 0.8984 0.7500
0.4600 0.3584 0.2500
0.5400 0.6416 0.7500
0.6416 0.1016 0.2500
0.8984 0.5400 0.2500
```

***

According to the calculations, the structures order from most to least stable as A, B.

***

A | Computed, not measured: a relaxed PaPd7Au4 crystal at the GGA-PBE level of DFT.

## Properties
The total magnetization is 0.00 μB/atom.

```
PaPd7Au4
1.0
5.0045 0.0000 0.0000
0.0485 5.7745 0.0000
1.5069 0.3022 7.0979
Pa Pd Au
1 7 4
Direct
0.0000 0.0000 0.0000
0.0000 0.5000 0.0000
0.2228 0.0057 0.3246
0.2699 0.2393 0.6787
0.4950 0.7497 0.9979
0.5050 0.2503 0.0021
0.7301 0.7607 0.3213
0.7772 0.9943 0.6754
0.2185 0.5049 0.3284
0.2875 0.7427 0.6572
0.7125 0.2573 0.3428
0.7815 0.4951 0.6716
```

***

B | Computed, not measured: a relaxed PaPd7Au4 crystal at the GGA-PBE level of DFT.

## Properties
The total magnetization is 0.00 μB/atom.

```
PaPd7Au4
1.0
5.0795 -2.5335 0.0000
5.0795 2.5335 0.0000
-5.0646 0.0000 8.5817
Pa Pd Au
1 7 4
Direct
0.0000 0.0000 0.0000
0.1116 0.1116 0.4551
0.2760 0.2760 0.0797
0.3401 0.3401 0.3796
0.5000 0.5000 0.0000
0.6599 0.6599 0.6204
0.7240 0.7240 0.9203
0.8884 0.8884 0.5449
0.1865 0.1865 0.7683
0.4179 0.4179 0.6876
0.5821 0.5821 0.3124
0.8135 0.8135 0.2317
```

***

According to the calculations, the structures order from most to least stable as A, B.